The following is a DFT calculation (GGA-PBE) of a relaxed structure of Li4Pm3AlS8.

Output
Formation energy from raw total energies   -1.587 eV/atom
Energy   -5.25 eV per atom
Crystal system   trigonal

Cell lengths 7.8270, 7.6547, 7.8263 Å; angles 120.76, 120.00, 90.00 degrees
With the nearest neighbours (Å) after each atom.
Positions (direct):
S  0.7781  0.7443  0.0112  1 Al 2.55, 2 Li 2.68, 2 Pm 2.81
S  0.2219  0.2557  0.9888  1 Al 2.55, 2 Li 2.68, 2 Pm 2.81
S  0.7668  0.2557  0.9888  1 Al 2.55, 2 Li 2.68, 2 Pm 2.81
S  0.2470  0.2410  0.4939  3 Li 2.70-2.71, 3 Pm 2.77
S  0.2333  0.7444  0.4666  1 Al 2.55, 2 Li 2.68, 2 Pm 2.81
S  0.7667  0.2556  0.5334  1 Al 2.55, 2 Li 2.68, 2 Pm 2.81
S  0.7530  0.7590  0.5061  3 Li 2.70-2.71, 3 Pm 2.77
S  0.2332  0.7443  0.0112  1 Al 2.55, 2 Li 2.68, 2 Pm 2.81
Pm  0.0000  0.5000  0.5000  6 S 2.77-2.81
Pm  0.5000  0.5000  0.5000  6 S 2.77-2.81
Pm  0.5000  0.5000  0.0000  6 S 2.77-2.81
Li  0.5000  0.0000  0.0000  6 S 2.92-2.93
Li  0.0000  0.0000  0.0000  6 S 2.68-2.70
Li  0.5000  0.0000  0.5000  6 S 2.68-2.71
Li  0.0000  0.0000  0.5000  6 S 2.68-2.71
Al  0.0000  0.5000  0.0000  6 S 2.55



The following is a DFT calculation (GGA-PBE) of a relaxed structure of TmSc2V.

Output
ΔH_f (0 K)   3.97 kcal/mol of atoms
Energy   -6.39 eV per atom
Crystal system   tetragonal
Polymorph energy (0 for the lowest one)   0.0 kJ/mol of atoms

Cell lengths 3.4356, 3.4356, 7.9460 Å; angles 90.00, 90.00, 90.00 degrees
With the nearest neighbours (Å) after each atom.
Positions (direct):
Sc  0.0000  0.0000  0.1986  4 V 2.90, 1 Sc 3.16
Sc  0.0000  0.0000  0.8014  4 V 2.90, 1 Sc 3.16
V  0.5000  0.5000  0.0000  8 Sc 2.90
Tm  0.5000  0.5000  0.5000  8 Sc 3.41, 4 Tm 3.44



The following is a DFT calculation (GGA-PBE) of a relaxed structure of MnPN3.

Output
Formation energy from raw total energies   1.422 eV/atom
Energy   -6.49 eV per atom
Crystal system   cubic

Cell lengths 3.6733, 3.6733, 3.6733 Å; angles 90.00, 90.00, 90.00 degrees
With the nearest neighbours (Å) after each atom.
Positions (direct):
N  0.5000  0.0000  0.0000  2 Mn 1.84
N  0.0000  0.5000  0.0000  2 Mn 1.84
N  0.0000  0.0000  0.5000  2 Mn 1.84
P  0.5000  0.5000  0.5000  12 N 2.60
Mn  0.0000  0.0000  0.0000  6 N 1.84



The following is a DFT calculation (GGA-PBE) of a relaxed structure of AcPuZnBi.

Output
ΔH_f (0 K)   -5.71 kcal/mol of atoms
Energy   -6.15 eV per atom
Crystal system   cubic

Cell lengths 5.5695, 5.5695, 5.5695 Å; angles 60.00, 60.00, 60.00 degrees
With the nearest neighbours (Å) after each atom.
Positions (direct):
Bi  0.5000  0.5000  0.5000  4 Ac 3.41, 4 Pu 3.41
Pu  0.7500  0.7500  0.7500  4 Bi 3.41, 4 Zn 3.41
Ac  0.2500  0.2500  0.2500  4 Zn 3.41, 4 Bi 3.41
Zn  0.0000  0.0000  0.0000  4 Pu 3.41, 4 Ac 3.41



The following is a DFT calculation (GGA-PBE) of a relaxed structure of CaB3C.

Output
ΔH_f (0 K)   91.55 kcal/mol of atoms
Energy   -2.28 eV per atom
Crystal system   cubic
Polymorph energy (0 for the lowest one)   358.7 kJ/mol of atoms

Cell lengths 4.7302, 4.7302, 4.7302 Å; angles 90.00, 90.00, 90.00 degrees
With the nearest neighbours (Å) after each atom.
Positions (direct):
B  0.5000  0.0000  0.0000  2 Ca 2.37
B  0.0000  0.5000  0.0000  2 Ca 2.37
B  0.0000  0.0000  0.5000  2 Ca 2.37
Ca  0.0000  0.0000  0.0000  6 B 2.37
C  0.5000  0.5000  0.5000  12 B 3.34



The following is a DFT calculation (GGA-PBE) of a relaxed structure of ZrSeNO2.

Output
Formation energy from raw total energies   -0.136 eV/atom
Energy   -6.19 eV per atom
Crystal system   tetragonal

Cell lengths 3.8688, 3.8688, 4.0965 Å; angles 90.00, 90.00, 90.00 degrees
With the nearest neighbours (Å) after each atom.
Positions (direct):
N  0.0000  0.0000  0.5000  2 Se 2.05
O  0.0000  0.5000  0.0000  2 Se 1.93
O  0.5000  0.0000  0.0000  2 Se 1.93
Zr  0.5000  0.5000  0.5000  4 N 2.74, 8 O 2.82
Se  0.0000  0.0000  0.0000  4 O 1.93, 2 N 2.05



The following is a DFT calculation (GGA-PBE) of a relaxed structure of U2MnBi.

Output
ΔH_f (0 K)   8.26 kcal/mol of atoms
Energy   -8.55 eV per atom
Crystal system   trigonal

Cell lengths 3.1769, 3.1769, 10.0473 Å; angles 80.90, 80.90, 60.00 degrees
With the nearest neighbours (Å) after each atom.
Positions (direct):
Bi  0.5000  0.5000  0.5000  6 Bi 3.18, 6 U 3.47
Mn  0.0000  0.0000  0.0000  6 U 2.70
U  0.2663  0.2663  0.2012  3 Mn 2.70
U  0.7337  0.7337  0.7988  3 Mn 2.70



The following is a DFT calculation (GGA-PBE) of a relaxed structure of CsCuP2.

Output
ΔH_f (0 K)   24.11 kcal/mol of atoms
Energy   -2.90 eV per atom
Crystal system   cubic
Polymorph energy (0 for the lowest one)   96.5 kJ/mol of atoms

Cell lengths 5.0318, 5.0318, 5.0318 Å; angles 60.00, 60.00, 60.00 degrees
With the nearest neighbours (Å) after each atom.
Positions (direct):
P  0.7500  0.7500  0.7500  4 Cs 3.08, 4 Cu 3.08
P  0.2500  0.2500  0.2500  4 Cu 3.08, 4 Cs 3.08
Cu  0.0000  0.0000  0.0000  8 P 3.08
Cs  0.5000  0.5000  0.5000  8 P 3.08



The following is a DFT calculation (GGA-PBE) of a relaxed structure of Nd6DyIn6.

Output
ΔH_f (0 K)   -7.51 kcal/mol of atoms
Energy   -4.14 eV per atom
Crystal system   hexagonal

Cell lengths 6.3946, 6.3946, 11.1031 Å; angles 90.00, 90.00, 120.00 degrees
With the nearest neighbours (Å) after each atom.
Positions (direct):
In  0.5000  0.0000  0.7536  4 In 3.20, 6 Nd 3.30-3.37
In  0.5000  0.0000  0.2464  4 In 3.20, 6 Nd 3.30-3.37
In  0.0000  0.5000  0.7536  4 In 3.20, 6 Nd 3.30-3.37
In  0.0000  0.5000  0.2464  4 In 3.20, 6 Nd 3.30-3.37
In  0.5000  0.5000  0.2464  4 In 3.20, 6 Nd 3.30-3.37
In  0.5000  0.5000  0.7536  4 In 3.20, 6 Nd 3.30-3.37
Nd  0.3333  0.6667  0.5000  6 In 3.37, 3 Nd 3.69
Nd  0.6667  0.3333  0.0000  6 In 3.30, 3 Nd 3.69, 3 Dy 3.69
Nd  0.3333  0.6667  0.0000  6 In 3.30, 3 Nd 3.69, 3 Dy 3.69
Nd  0.0000  0.0000  0.6684  6 In 3.33, 1 Dy 3.68
Nd  0.0000  0.0000  0.3316  6 In 3.33, 1 Dy 3.68
Nd  0.6667  0.3333  0.5000  6 In 3.37, 3 Nd 3.69
Dy  0.0000  0.0000  0.0000  8 Nd 3.68-3.69



The following is a DFT calculation (GGA-PBE) of a relaxed structure of InGeCl2.

Output
Formation energy from raw total energies   -0.256 eV/atom
Energy   -3.02 eV per atom
Crystal system   tetragonal
Polymorph energy (0 for the lowest one)   0.0 kJ/mol of atoms

Cell lengths 4.8375, 4.8375, 9.7765 Å; angles 75.68, 75.68, 90.00 degrees
With the nearest neighbours (Å) after each atom.
Positions (direct):
Cl  0.3750  0.3998  0.7500  2 Ge 2.81, 2 In 2.91
Cl  0.1498  0.6250  0.2500  2 Ge 2.81, 2 In 2.91
Cl  0.8750  0.8502  0.7500  2 Ge 2.81, 2 In 2.91
Cl  0.6002  0.1250  0.2500  2 Ge 2.81, 2 In 2.91
Ge  0.5000  0.5000  0.0000  4 Cl 2.81
Ge  0.2500  0.7500  0.5000  4 Cl 2.81
In  0.7500  0.2500  0.5000  4 Cl 2.91
In  0.0000  0.0000  0.0000  4 Cl 2.91



The following is a DFT calculation (GGA-PBE) of a relaxed structure of CeZnP2Ir5.

Output
ΔH_f (0 K)   -9.71 kcal/mol of atoms
Energy   -7.35 eV per atom
Crystal system   tetragonal

Cell lengths 4.0399, 4.0399, 9.9058 Å; angles 90.00, 90.00, 90.00 degrees
With the nearest neighbours (Å) after each atom.
Positions (direct):
Ir  0.0000  0.5000  0.1611  2 P 2.28
Ir  0.5000  0.5000  0.5000  2 P 2.29
Ir  0.0000  0.5000  0.8389  2 P 2.28
Ir  0.5000  0.0000  0.8389  2 P 2.28
Ir  0.5000  0.0000  0.1611  2 P 2.28
Zn  0.0000  0.0000  0.0000  8 Ir 2.57
P  0.5000  0.5000  0.7314  5 Ir 2.28-2.29
P  0.5000  0.5000  0.2686  5 Ir 2.28-2.29
Ce  0.0000  0.0000  0.5000  4 Ir 2.86



The following is a DFT calculation (GGA-PBE) of a relaxed structure of SrPr3Rh.

Output
ΔH_f (0 K)   -4.50 kcal/mol of atoms
Energy   -4.87 eV per atom
Crystal system   cubic
Polymorph energy (0 for the lowest one)   3.2 kJ/mol of atoms

Cell lengths 5.7318, 5.7318, 5.7318 Å; angles 90.00, 90.00, 90.00 degrees
With the nearest neighbours (Å) after each atom.
Positions (direct):
Pr  0.5000  0.0000  0.0000  2 Rh 2.87
Pr  0.0000  0.5000  0.0000  2 Rh 2.87
Pr  0.0000  0.0000  0.5000  2 Rh 2.87
Sr  0.5000  0.5000  0.5000  12 Pr 4.05
Rh  0.0000  0.0000  0.0000  6 Pr 2.87



no.,size of the total moment (μB per cell)
1,0.00
2,2.80
3,0.00
4,6.90
5,0.00
6,0.62
7,2.52
8,0.00
9,1.63
10,0.00
11,0.59
12,0.00